# 1
! Mg12InGa6 | Alexandria via LeMat-Bulk | GGA-PBE | relaxed; values from VASP
! N(E_F): 8.828 states/eV/f.u.
! crystal system: trigonal
! size of the total moment: 0.0 μB/cell
! formation energy: -2.1 kcal/mol of atoms
! space group: R-3, No. 148
&SYSTEM
  ibrav = 0, nat = 19, ntyp = 3
/
ATOMIC_SPECIES
Mg 24.30 Mg.upf
In 114.82 In.upf
Ga 69.72 Ga.upf
CELL_PARAMETERS angstrom
6.6517 3.8403 2.5518
-6.6517 3.8403 2.5518
0.0000 -7.6807 2.5518
ATOMIC_POSITIONS angstrom
Mg -1.8083 -0.0788 1.2436
Mg 0.9724 -1.5266 1.2436
Mg -2.4714 -1.9155 3.8571
Mg 0.8359 1.6054 1.2436
Mg -2.8946 1.1826 3.7983
Mg 0.4231 -3.0980 3.7983
Mg -0.4232 3.0980 3.8571
Mg 2.8946 -1.1826 3.8571
Mg -0.8359 -1.6054 6.4118
Mg 2.4714 1.9155 3.7983
Mg -0.9724 1.5266 6.4118
Mg 1.8083 0.0788 6.4118
In 0.0000 0.0000 3.8277
Ga -5.1728 -0.6649 3.8379
Ga -2.0106 -4.8123 3.8175
Ga -3.1623 4.1474 3.8175
Ga 3.1623 -4.1474 3.8379
Ga 2.0106 4.8123 3.8379
Ga 5.1729 0.6649 3.8175


# 2
! Tm2ScIn2 | Alexandria via LeMat-Bulk | GGA-PBE | relaxed; values from VASP
! N(E_F): 4.593 states/eV/f.u.
! crystal system: tetragonal
! size of the total moment: 0.0 μB/cell
! formation energy: -8.0 kcal/mol of atoms
! ΔE to the lowest computed polymorph: 0 meV/atom
! space group: P4/mbm, No. 127
&SYSTEM
  ibrav = 0, nat = 10, ntyp = 3
/
ATOMIC_SPECIES
Tm 168.93 Tm.upf
Sc 44.96 Sc.upf
In 114.82 In.upf
CELL_PARAMETERS angstrom
7.8278 0.0000 0.0000
0.0000 7.8278 0.0000
0.0000 0.0000 4.3493
ATOMIC_POSITIONS angstrom
Tm 1.3493 2.5646 0.0000
Tm 2.5646 6.4785 0.0000
Tm 5.2632 1.3493 0.0000
Tm 6.4785 5.2632 0.0000
Sc 0.0000 0.0000 2.1746
Sc 3.9139 3.9139 2.1746
In 1.0248 4.9387 2.1746
In 2.8891 1.0248 2.1746
In 4.9387 6.8030 2.1746
In 6.8030 2.8891 2.1746


# 3
! ErZr2Ta | Alexandria via LeMat-Bulk | GGA-PBE | relaxed; values from VASP
! N(E_F): 6.616 states/eV/f.u.
! crystal system: trigonal
! size of the total moment: 0.0 μB/cell
! formation energy: 5.4 kcal/mol of atoms
! ΔE to the lowest computed polymorph: 91 meV/atom
! space group: R-3m, No. 166
&SYSTEM
  ibrav = 0, nat = 4, ntyp = 3
/
ATOMIC_SPECIES
Er 167.26 Er.upf
Zr 91.22 Zr.upf
Ta 180.95 Ta.upf
CELL_PARAMETERS angstrom
1.5940 0.9203 10.5624
-1.5940 0.9203 10.5624
0.0000 -1.8406 10.5624
ATOMIC_POSITIONS angstrom
Er 0.0000 0.0000 0.0000
Zr 0.0000 0.0000 7.7101
Zr 0.0000 0.0000 23.9772
Ta 0.0000 0.0000 15.8437


# 4
! VCrBr4 | Alexandria via LeMat-Bulk | GGA-PBE | relaxed; values from VASP
! uncorrected formation energy: -708 meV/atom
! N(E_F): 4.453 states/eV/f.u.
! crystal system: monoclinic
! size of the total moment: 7.0 μB/cell
! space group: C2/m, No. 12
&SYSTEM
  ibrav = 0, nat = 6, ntyp = 3
/
ATOMIC_SPECIES
V 50.94 V.upf
Cr 52.00 Cr.upf
Br 79.90 Br.upf
CELL_PARAMETERS angstrom
7.5604 -1.9039 0.0000
7.5604 1.9039 0.0000
-2.8148 0.0000 6.1459
ATOMIC_POSITIONS angstrom
V 0.0000 0.0000 0.0000
Cr 6.1530 0.0000 3.0730
Br 0.3633 0.0000 2.6060
Br 5.7733 0.0000 0.3112
Br 6.5328 0.0000 5.8347
Br 11.9427 0.0000 3.5399